# 1
# PrHg2TeO6

PrHg2TeO6 after structural relaxation (PBE, the Alexandria database).

Summary:
Uncorrected formation energy ... -122 kJ/mol of atoms
Energy ... -152.712 eV per cell

Structure (CIF):
```
data_PrHg2TeO6
_chemical_formula_sum 'Pr3 Hg6 Te3 O18'
_space_group_name_H-M_alt 'R -3'
_space_group_IT_number 148
_space_group_name_Hall '-R 3'
_cell_length_a 5.8659
_cell_length_b 5.8659
_cell_length_c 15.2376
_cell_angle_alpha 90.00
_cell_angle_beta 90.00
_cell_angle_gamma 120.00
loop_
_atom_site_label
_atom_site_fract_x
_atom_site_fract_y
_atom_site_fract_z
_atom_site_occupancy
Pr1 0.0000 0.0000 0.0000 1
Hg1 0.0000 0.0000 0.2451 1
Te1 0.0000 0.0000 0.5000 1
O1 0.0353 0.4101 0.2421 1
```

=====

# 2
# Pr2TlHgO5

Pr2TlHgO5 after structural relaxation (PBE, the Alexandria database).

Summary:
Uncorrected formation energy ... -173 kJ/mol of atoms
Energy ... -106.309 eV per cell

Structure (CIF):
```
data_Pr2TlHgO5
_chemical_formula_sum 'Pr4 Tl2 Hg2 O10'
_space_group_name_H-M_alt 'P 4/m b m'
_space_group_IT_number 127
_space_group_name_Hall '-P 4 2ab'
_cell_length_a 6.9972
_cell_length_b 6.9972
_cell_length_c 6.2729
_cell_angle_alpha 90.00
_cell_angle_beta 90.00
_cell_angle_gamma 90.00
loop_
_atom_site_label
_atom_site_fract_x
_atom_site_fract_y
_atom_site_fract_z
_atom_site_occupancy
Pr1 0.1754 0.3246 0.0000 1
Tl1 0.0000 0.5000 0.5000 1
Hg1 0.0000 0.0000 0.5000 1
O1 0.0000 0.0000 0.0000 1
O2 0.1363 0.6363 0.2280 1
```

=====

# 3
# Pr4TlHgO

Pr4TlHgO after structural relaxation (PBE, the Alexandria database).

Summary:
Uncorrected formation energy ... -96 kJ/mol of atoms
Energy ... -134.905 eV per cell

Structure (CIF):
```
data_Pr4TlHgO
_chemical_formula_sum 'Pr16 Tl4 Hg4 O4'
_space_group_name_H-M_alt 'C m c m'
_space_group_IT_number 63
_space_group_name_Hall '-C 2c 2'
_cell_length_a 6.9251
_cell_length_b 16.5958
_cell_length_c 6.9446
_cell_angle_alpha 90.00
_cell_angle_beta 90.00
_cell_angle_gamma 90.00
loop_
_atom_site_label
_atom_site_fract_x
_atom_site_fract_y
_atom_site_fract_z
_atom_site_occupancy
Pr1 0.0000 0.0710 0.2500 1
Pr2 0.0000 0.4206 0.2500 1
Pr3 0.2500 0.2500 0.0000 1
Tl1 0.0000 0.3889 0.7500 1
Hg1 0.0000 0.1167 0.7500 1
O1 0.0000 0.2526 0.2500 1
```